No. 1
A plane-wave DFT calculation with GGA-PBE was carried out for SrAgW2 after structural relaxation.

Results
As for the crystal system: orthorhombic. The calculation puts the polymorph energy (0 for the lowest one) at 129 meV per atom. The formation enthalpy at 0 K is 2.9 eV per formula unit.

Cell lengths 3.366, 4.803, 9.885 Å; angles 90.00, 90.00, 90.00 degrees
Sites, in units of the cell vectors:
Sr1 0.000 0.000 0.000
Sr2 0.500 0.500 0.000
Ag1 0.000 0.500 0.281
Ag2 0.500 0.000 0.281
W1 0.000 0.000 0.517
W2 0.000 0.500 0.718
W3 0.500 0.000 0.718
W4 0.500 0.500 0.517

No. 2
A plane-wave DFT calculation with GGA-PBE was carried out for SrAgW2 after structural relaxation.

Results
As for the crystal system: orthorhombic. The calculation puts the polymorph energy (0 for the lowest one) at 550 meV per atom. The formation enthalpy at 0 K is 4.6 eV per formula unit.

Cell lengths 5.603, 10.453, 2.739 Å; angles 90.00, 90.00, 90.00 degrees
Sites, in units of the cell vectors:
Sr1 0.000 0.000 0.000
Sr2 0.500 0.500 0.000
Ag1 0.000 0.500 0.000
Ag2 0.500 0.000 0.000
W1 0.250 0.250 0.500
W2 0.250 0.750 0.500
W3 0.750 0.250 0.500
W4 0.750 0.750 0.500

No. 3
A plane-wave DFT calculation with GGA-PBE was carried out for SrAg4W2 after structural relaxation.

Results
As for the crystal system: tetragonal. The formation enthalpy at 0 K is 10.2 eV per formula unit.

Cell lengths 5.412, 5.412, 13.930 Å; angles 90.00, 90.00, 90.00 degrees
Sites, in units of the cell vectors:
Sr1 0.000 0.000 0.000
Sr2 0.500 0.500 0.500
Ag1 0.000 0.000 0.221
Ag2 0.000 0.000 0.779
Ag3 0.000 0.500 0.000
Ag4 0.000 0.500 0.500
Ag5 0.500 0.000 0.000
Ag6 0.500 0.000 0.500
Ag7 0.500 0.500 0.279
Ag8 0.500 0.500 0.721
W1 0.000 0.000 0.420
W2 0.000 0.000 0.580
W3 0.500 0.500 0.080
W4 0.500 0.500 0.920

No. 4
A plane-wave DFT calculation with GGA-PBE was carried out for SrAg2W after structural relaxation.

Results
As for the crystal system: tetragonal. The calculation puts the polymorph energy (0 for the lowest one) at 0 meV per atom. The formation enthalpy at 0 K is 2.6 eV per formula unit.

Cell lengths 2.965, 2.965, 9.313 Å; angles 90.00, 90.00, 90.00 degrees
Sites, in units of the cell vectors:
Sr1 0.000 0.000 0.000
Ag1 0.000 0.000 0.494
Ag2 0.500 0.500 0.715
W1 0.500 0.500 0.276